## LiNb3Ga (GGA-PBEsol)

Data for LiNb3Ga after structural relaxation.

The value obtained for the electronic total energy is -31.7 eV per formula unit. For the calculated density, the calculation gives 5.447 g cm⁻³. As for the crystal system: cubic. The density of states at the Fermi level is 1.5431 states/eV per atom.

The space group is Pm-3m (No. 221) and the conventional cell measures 4.7671, 4.7671 and 4.7671 Å, with angles of 90.00, 90.00 and 90.00 degrees. Symmetry generates all atoms from Li at (0.0000, 0.0000, 0.0000), Nb at (0.0000, 0.5000, 0.5000) and Ga at (0.5000, 0.5000, 0.5000).

## TaAgAs (GGA-PBEsol)

Data for TaAgAs after structural relaxation.

The value obtained for the electronic total energy is -18.0 eV per formula unit. For the calculated density, the calculation gives 10.205 g cm⁻³. As for the crystal system: cubic. The density of states at the Fermi level is 1.2272 states/eV per atom.

The space group is F-43m (No. 216) and the conventional cell measures 6.1863, 6.1863 and 6.1863 Å, with angles of 90.00, 90.00 and 90.00 degrees. Symmetry generates all atoms from Ta at (0.0000, 0.0000, 0.0000), Ag at (0.2500, 0.2500, 0.7500) and As at (0.0000, 0.0000, 0.5000).

## K2Au (GGA-PBEsol)

Data for K2Au after structural relaxation.

The value obtained for the electronic total energy is -6.5 eV per formula unit. For the calculated density, the calculation gives 3.800 g cm⁻³. As for the crystal system: tetragonal. The density of states at the Fermi level is 0.5663 states/eV per atom.

The space group is I4/mmm (No. 139) and the conventional cell measures 3.9598, 3.9598 and 15.3374 Å, with angles of 90.00, 90.00 and 90.00 degrees. Symmetry generates all atoms from K at (0.0000, 0.0000, 0.1203) and Au at (0.0000, 0.0000, 0.5000).

no.,ΔE_f (eV per formula unit)
1,6.12
2,2.98
3,-0.30